# 1
Below is a relaxed structure of NaAl, with properties calculated at the PBE-GGA level.

extended XYZ file:
```
16
Lattice="10.051 0.000 0.000 0.000 4.330 0.000 0.000 0.000 8.898" Properties=species:S:1:pos:R:3 pbc="T T T"
Na 1.341 1.083 0.155
Na 1.524 3.248 6.666
Na 3.502 1.083 2.217
Na 3.684 3.248 4.604
Na 6.367 1.083 4.294
Na 6.549 3.248 6.681
Na 8.527 1.083 2.232
Na 8.709 3.248 8.743
Al 0.903 1.083 4.219
Al 0.965 3.248 2.617
Al 4.061 1.083 7.066
Al 4.123 3.248 8.668
Al 5.928 1.083 0.230
Al 5.990 3.248 1.832
Al 9.086 1.083 6.281
Al 9.148 3.248 4.679
```

Results
**Energy of formation from the pure elements**: 0.13 eV per atom
**Crystal system**: orthorhombic

---

# 2
Below is a relaxed structure of NaAl, with properties calculated at the PBE-GGA level.

extended XYZ file:
```
2
Lattice="2.965 0.000 0.000 0.000 2.965 0.000 0.000 0.000 5.098" Properties=species:S:1:pos:R:3 pbc="T T T"
Na 0.000 0.000 0.000
Al 1.483 1.483 2.549
```

Results
**Energy of formation from the pure elements**: 0.20 eV per atom
**Crystal system**: tetragonal

---

# 3
Below is a relaxed structure of NaAl, with properties calculated at the PBE-GGA level.

extended XYZ file:
```
12
Lattice="8.589 0.000 0.000 -4.294 7.438 0.000 0.000 0.000 4.619" Properties=species:S:1:pos:R:3 pbc="T T T"
Na 0.000 2.412 1.155
Na -2.206 6.232 1.155
Na 2.089 1.206 3.464
Na 2.206 6.232 1.155
Na 6.500 1.206 3.464
Na 4.294 5.026 3.464
Al -1.397 4.152 3.464
Al 1.397 4.152 3.464
Al 0.000 6.572 3.464
Al 4.294 0.866 1.155
Al 2.897 3.286 1.155
Al 5.691 3.286 1.155
```

Results
**Energy of formation from the pure elements**: 0.11 eV per atom
**Crystal system**: hexagonal

---

# 4
Below is a relaxed structure of NaAl, with properties calculated at the PBE-GGA level.

extended XYZ file:
```
8
Lattice="-4.379 4.379 2.613 4.379 -4.379 2.613 4.379 4.379 -2.613" Properties=species:S:1:pos:R:3 pbc="T T T"
Na 2.508 0.000 0.000
Na 6.250 0.000 0.000
Na 0.000 2.508 0.000
Na 0.000 6.250 0.000
Al 3.014 3.014 0.000
Al 1.365 -1.365 2.613
Al -1.365 1.365 2.613
Al 1.365 1.365 2.613
```

Results
**Energy of formation from the pure elements**: 0.20 eV per atom
**Crystal system**: tetragonal

---

# 5
Below is a relaxed structure of NaAl, with properties calculated at the PBE-GGA level.

extended XYZ file:
```
2
Lattice="0.000 3.078 3.078 3.078 0.000 3.078 3.078 3.078 0.000" Properties=species:S:1:pos:R:3 pbc="T T T"
Na 0.000 0.000 0.000
Al 3.078 3.078 3.078
```

Results
**Energy of formation from the pure elements**: 0.65 eV per atom
**Crystal system**: cubic

---

# 6
Below is a relaxed structure of NaAl, with properties calculated at the PBE-GGA level.

extended XYZ file:
```
4
Lattice="5.297 0.000 0.000 -2.649 4.587 0.000 0.000 0.000 6.063" Properties=species:S:1:pos:R:3 pbc="T T T"
Na 0.000 3.058 1.516
Na 2.649 1.529 4.547
Al 0.000 3.058 4.547
Al 2.649 1.529 1.516
```

Results
**Energy of formation from the pure elements**: 0.84 eV per atom
**Crystal system**: hexagonal

---

# 7
Below is a relaxed structure of Na6Al, with properties calculated at the PBE-GGA level.

extended XYZ file:
```
7
Lattice="-4.300 4.300 4.300 4.300 -4.300 4.300 4.300 4.300 -4.300" Properties=species:S:1:pos:R:3 pbc="T T T"
Na 4.300 2.150 0.000
Na 4.300 0.000 2.150
Na 2.150 4.300 0.000
Na 2.150 0.000 4.300
Na 0.000 4.300 2.150
Na 0.000 2.150 4.300
Al 0.000 0.000 0.000
```

Results
**Energy of formation from the pure elements**: 0.60 eV per atom
**Crystal system**: cubic

---

# 8
Below is a relaxed structure of NaAl2, with properties calculated at the PBE-GGA level.

extended XYZ file:
```
6
Lattice="0.000 3.983 3.983 3.983 0.000 3.983 3.983 3.983 0.000" Properties=species:S:1:pos:R:3 pbc="T T T"
Na 0.996 0.996 0.996
Na 6.971 6.971 6.971
Al 3.983 1.992 1.992
Al 1.992 3.983 1.992
Al 1.992 1.992 3.983
Al 3.983 3.983 3.983
```

Results
**Energy of formation from the pure elements**: 0.06 eV per atom
**Crystal system**: cubic

---

# 9
Below is a relaxed structure of NaAl, with properties calculated at the PBE-GGA level.

extended XYZ file:
```
8
Lattice="6.013 0.000 0.000 0.000 6.013 0.000 0.000 0.000 6.200" Properties=species:S:1:pos:R:3 pbc="T T T"
Na 1.053 1.053 0.000
Na 1.953 4.060 3.100
Na 4.060 1.953 3.100
Na 4.959 4.959 0.000
Al 0.950 0.950 3.100
Al 2.056 3.957 0.000
Al 3.957 2.056 0.000
Al 5.063 5.063 3.100
```

Results
**Energy of formation from the pure elements**: 0.48 eV per atom
**Crystal system**: tetragonal

---

# 10
Below is a relaxed structure of NaAl, with properties calculated at the PBE-GGA level.

extended XYZ file:
```
8
Lattice="-4.704 4.704 4.704 4.704 -4.704 4.704 4.704 4.704 -4.704" Properties=species:S:1:pos:R:3 pbc="T T T"
Na 2.706 2.706 -2.706
Na 2.706 -2.706 2.706
Na 1.998 1.998 1.998
Na -2.706 2.706 2.706
Al 0.960 0.960 -0.960
Al 0.960 -0.960 0.960
Al -0.960 0.960 0.960
Al 3.744 3.744 3.744
```

Results
**Energy of formation from the pure elements**: 0.53 eV per atom
**Crystal system**: cubic